First-principles (PBE-GGA) data for crystalline CaTiO3 at its relaxed geometry, as listed in Alexandria.

N(E_F): 1.1922 states/eV/atom
calculated volume: 13.8 A^3/atom
total energy: -5.71 eV/atom

Cell and atoms, written as POSCAR:
```
CaTiO3
1.0
4.099 0.000 0.000
0.000 4.099 0.000
0.000 0.000 4.099
Ca Ti O
1 1 3
Direct
0.000 0.000 0.000
0.500 0.500 0.500
0.000 0.000 0.500
0.000 0.500 0.000
0.500 0.000 0.000
```

---

First-principles (PBE-GGA) data for crystalline CeDy2Zr3N6 at its relaxed geometry, as listed in Alexandria.

N(E_F): 0.4234 states/eV/atom
calculated volume: 13.6 A^3/atom
total energy: -9.25 eV/atom

Cell and atoms, written as POSCAR:
```
CeDy2Zr3N6
1.0
2.904 -5.037 0.000
2.904 5.037 0.000
-1.934 0.000 5.564
Ce Dy Zr N
1 2 3 6
Direct
0.000 0.000 0.000
0.333 0.667 0.000
0.667 0.333 0.000
0.168 0.832 0.500
0.500 0.500 0.500
0.832 0.168 0.500
0.090 0.424 0.269
0.245 0.245 0.733
0.424 0.090 0.269
0.576 0.910 0.731
0.755 0.755 0.267
0.910 0.576 0.731
```